First-principles (PBE) data for crystalline InCu3Te4Os at its relaxed geometry, as listed in OQMD via LeMat-Bulk.

Properties
energy: -35.5 eV for the cell shown
M_tot: 0.01 μB per atom
space-group type: P-43m (215)

```
9
Lattice="6.333 0.000 0.000 0.000 6.333 0.000 0.000 0.000 6.333" Properties=species:S:1:pos:R:3 pbc="T T T"
In 0.000 0.000 0.000
Cu 0.000 3.167 3.167
Cu 3.167 0.000 3.167
Cu 3.167 3.167 0.000
Te 1.694 1.694 1.694
Te 1.694 4.639 4.639
Te 4.639 1.694 4.639
Te 4.639 4.639 1.694
Os 3.167 3.167 3.167
```

---

First-principles (PBE) data for crystalline InCuOsW at its relaxed geometry, as listed in OQMD via LeMat-Bulk.

Properties
M_tot: 0.00 μB per atom
space-group type: F-43m (216)
distance to the lowest polymorph of the same formula: 0.000 eV per atom

```
16
Lattice="6.305 0.000 0.000 0.000 6.305 0.000 0.000 0.000 6.305" Properties=species:S:1:pos:R:3 pbc="T T T"
In 0.000 0.000 0.000
In 0.000 3.153 3.153
In 3.153 0.000 3.153
In 3.153 3.153 0.000
Cu 1.576 1.576 1.576
Cu 1.576 4.729 4.729
Cu 4.729 1.576 4.729
Cu 4.729 4.729 1.576
Os 1.576 1.576 4.729
Os 1.576 4.729 1.576
Os 4.729 1.576 1.576
Os 4.729 4.729 4.729
W 0.000 0.000 3.153
W 0.000 3.153 0.000
W 3.153 0.000 0.000
W 3.153 3.153 3.153
```

---

First-principles (PBE) data for crystalline InCuOsW at its relaxed geometry, as listed in OQMD via LeMat-Bulk.

Properties
M_tot: 0.02 μB per atom
space-group type: F-43m (216)
distance to the lowest polymorph of the same formula: 0.426 eV per atom

```
16
Lattice="6.288 0.000 0.000 0.000 6.288 0.000 0.000 0.000 6.288" Properties=species:S:1:pos:R:3 pbc="T T T"
In 0.000 0.000 0.000
In 0.000 3.144 3.144
In 3.144 0.000 3.144
In 3.144 3.144 0.000
Cu 0.000 0.000 3.144
Cu 0.000 3.144 0.000
Cu 3.144 0.000 0.000
Cu 3.144 3.144 3.144
Os 1.572 1.572 1.572
Os 1.572 4.716 4.716
Os 4.716 1.572 4.716
Os 4.716 4.716 1.572
W 1.572 1.572 4.716
W 1.572 4.716 1.572
W 4.716 1.572 1.572
W 4.716 4.716 4.716
```

---

First-principles (PBE) data for crystalline ZnInCuOs at its relaxed geometry, as listed in OQMD via LeMat-Bulk.

Properties
M_tot: 0.00 μB per atom
space-group type: F-43m (216)
distance to the lowest polymorph of the same formula: 0.083 eV per atom

```
16
Lattice="6.233 0.000 0.000 0.000 6.233 0.000 0.000 0.000 6.233" Properties=species:S:1:pos:R:3 pbc="T T T"
Zn 0.000 0.000 0.000
Zn 0.000 3.116 3.116
Zn 3.116 0.000 3.116
Zn 3.116 3.116 0.000
In 1.558 1.558 1.558
In 1.558 4.674 4.674
In 4.674 1.558 4.674
In 4.674 4.674 1.558
Cu 0.000 0.000 3.116
Cu 0.000 3.116 0.000
Cu 3.116 0.000 0.000
Cu 3.116 3.116 3.116
Os 1.558 1.558 4.674
Os 1.558 4.674 1.558
Os 4.674 1.558 1.558
Os 4.674 4.674 4.674
```

---

First-principles (PBE) data for crystalline ZnInCuOs at its relaxed geometry, as listed in OQMD via LeMat-Bulk.

Properties
M_tot: 0.00 μB per atom
space-group type: F-43m (216)
distance to the lowest polymorph of the same formula: 0.000 eV per atom

```
16
Lattice="6.282 0.000 0.000 0.000 6.282 0.000 0.000 0.000 6.282" Properties=species:S:1:pos:R:3 pbc="T T T"
Zn 0.000 0.000 0.000
Zn 0.000 3.141 3.141
Zn 3.141 0.000 3.141
Zn 3.141 3.141 0.000
In 0.000 0.000 3.141
In 0.000 3.141 0.000
In 3.141 0.000 0.000
In 3.141 3.141 3.141
Cu 1.570 1.570 4.711
Cu 1.570 4.711 1.570
Cu 4.711 1.570 1.570
Cu 4.711 4.711 4.711
Os 1.570 1.570 1.570
Os 1.570 4.711 4.711
Os 4.711 1.570 4.711
Os 4.711 4.711 1.570
```

---

First-principles (PBE) data for crystalline ZrInCuOs at its relaxed geometry, as listed in OQMD via LeMat-Bulk.

Properties
M_tot: 0.00 μB per atom
space-group type: F-43m (216)
distance to the lowest polymorph of the same formula: 0.250 eV per atom

```
16
Lattice="6.538 0.000 0.000 0.000 6.538 0.000 0.000 0.000 6.538" Properties=species:S:1:pos:R:3 pbc="T T T"
Zr 0.000 0.000 0.000
Zr 0.000 3.269 3.269
Zr 3.269 0.000 3.269
Zr 3.269 3.269 0.000
In 1.635 1.635 1.635
In 1.635 4.904 4.904
In 4.904 1.635 4.904
In 4.904 4.904 1.635
Cu 0.000 0.000 3.269
Cu 0.000 3.269 0.000
Cu 3.269 0.000 0.000
Cu 3.269 3.269 3.269
Os 1.635 1.635 4.904
Os 1.635 4.904 1.635
Os 4.904 1.635 1.635
Os 4.904 4.904 4.904
```

---

First-principles (PBE) data for crystalline ZrInCuOs at its relaxed geometry, as listed in OQMD via LeMat-Bulk.

Properties
M_tot: 0.00 μB per atom
space-group type: F-43m (216)
distance to the lowest polymorph of the same formula: 0.000 eV per atom

```
16
Lattice="6.511 0.000 0.000 0.000 6.511 0.000 0.000 0.000 6.511" Properties=species:S:1:pos:R:3 pbc="T T T"
Zr 0.000 0.000 0.000
Zr 0.000 3.255 3.255
Zr 3.255 0.000 3.255
Zr 3.255 3.255 0.000
In 0.000 0.000 3.255
In 0.000 3.255 0.000
In 3.255 0.000 0.000
In 3.255 3.255 3.255
Cu 1.628 1.628 4.883
Cu 1.628 4.883 1.628
Cu 4.883 1.628 1.628
Cu 4.883 4.883 4.883
Os 1.628 1.628 1.628
Os 1.628 4.883 4.883
Os 4.883 1.628 4.883
Os 4.883 4.883 1.628
```

---

First-principles (PBE) data for crystalline InCu2P3 at its relaxed geometry, as listed in OQMD via LeMat-Bulk.

Properties
energy: -25.0 eV for the cell shown
space-group type: P-4m2 (115)

```
6
Lattice="4.169 0.000 0.000 0.000 4.169 0.000 0.000 0.000 5.869" Properties=species:S:1:pos:R:3 pbc="T T T"
In 0.000 0.000 0.000
Cu 0.000 2.084 1.740
Cu 2.084 0.000 4.129
P 0.000 0.000 2.935
P 2.084 2.084 0.000
P 2.084 2.084 2.935
```

---

First-principles (PBE) data for crystalline InCu2P2 at its relaxed geometry, as listed in OQMD via LeMat-Bulk.

Properties
energy: -41.8 eV for the cell shown
space-group type: Cmcm (63)

```
10
Lattice="1.605 -5.428 0.000 1.605 5.428 0.000 0.000 0.000 10.687" Properties=species:S:1:pos:R:3 pbc="T T T"
In 1.605 5.186 8.015
In 1.605 -5.186 2.672
Cu 1.605 2.402 8.015
Cu 1.605 0.000 0.000
Cu 1.605 0.000 5.343
Cu 1.605 -2.402 2.672
P 1.605 2.153 5.831
P 1.605 2.153 10.199
P 1.605 -2.153 0.487
P 1.605 -2.153 4.856
```

---

First-principles (PBE) data for crystalline Sr8In4Cu3P5 at its relaxed geometry, as listed in OQMD via LeMat-Bulk.

Properties
energy: -75.1 eV for the cell shown
space-group type: Immm (71)

```
20
Lattice="-2.187 6.922 10.016 2.187 -6.922 10.016 2.187 6.922 -10.016" Properties=species:S:1:pos:R:3 pbc="T T T"
Sr 2.187 5.041 -5.939
Sr 2.187 4.598 -1.914
Sr 0.000 1.881 4.077
Sr 2.187 4.598 1.914
Sr 0.000 2.324 8.102
Sr 2.187 5.041 5.939
Sr 0.000 2.324 11.930
Sr 0.000 1.881 15.955
In 2.187 0.000 1.614
In 0.000 1.733 0.000
In 0.000 12.110 0.000
In 0.000 6.922 8.402
Cu 2.187 0.000 6.319
Cu 0.000 6.922 0.000
Cu 0.000 6.922 3.697
P 2.187 -2.169 6.125
P 2.187 2.169 6.125
P 0.000 0.000 10.016
P 0.000 4.753 3.891
P 0.000 9.091 3.891
```

---

First-principles (PBE) data for crystalline PaInCu at its relaxed geometry, as listed in OQMD via LeMat-Bulk.

Properties
energy: -54.6 eV for the cell shown
M_tot: 0.08 μB per atom
space-group type: F-43m (216)

```
12
Lattice="6.848 0.000 0.000 0.000 6.848 0.000 0.000 0.000 6.848" Properties=species:S:1:pos:R:3 pbc="T T T"
Pa 0.000 0.000 0.000
Pa 0.000 3.424 3.424
Pa 3.424 0.000 3.424
Pa 3.424 3.424 0.000
In 1.712 1.712 1.712
In 1.712 5.136 5.136
In 5.136 1.712 5.136
In 5.136 5.136 1.712
Cu 1.712 1.712 5.136
Cu 1.712 5.136 1.712
Cu 5.136 1.712 1.712
Cu 5.136 5.136 5.136
```

---

First-principles (PBE) data for crystalline PaInCu at its relaxed geometry, as listed in OQMD via LeMat-Bulk.

Properties
energy: -62.8 eV for the cell shown
M_tot: 0.24 μB per atom
space-group type: F-43m (216)

```
12
Lattice="6.504 0.000 0.000 0.000 6.504 0.000 0.000 0.000 6.504" Properties=species:S:1:pos:R:3 pbc="T T T"
Pa 0.000 0.000 0.000
Pa 0.000 3.252 3.252
Pa 3.252 0.000 3.252
Pa 3.252 3.252 0.000
In 0.000 0.000 3.252
In 0.000 3.252 0.000
In 3.252 0.000 0.000
In 3.252 3.252 3.252
Cu 1.626 1.626 4.878
Cu 1.626 4.878 1.626
Cu 4.878 1.626 1.626
Cu 4.878 4.878 4.878
```

---

First-principles (PBE) data for crystalline InCuPtPb at its relaxed geometry, as listed in OQMD via LeMat-Bulk.

Properties
M_tot: 0.00 μB per atom
space-group type: F-43m (216)
distance to the lowest polymorph of the same formula: 0.000 eV per atom

```
16
Lattice="6.818 0.000 0.000 0.000 6.818 0.000 0.000 0.000 6.818" Properties=species:S:1:pos:R:3 pbc="T T T"
In 0.000 0.000 0.000
In 0.000 3.409 3.409
In 3.409 0.000 3.409
In 3.409 3.409 0.000
Cu 1.704 1.704 5.113
Cu 1.704 5.113 1.704
Cu 5.113 1.704 1.704
Cu 5.113 5.113 5.113
Pt 1.704 1.704 1.704
Pt 1.704 5.113 5.113
Pt 5.113 1.704 5.113
Pt 5.113 5.113 1.704
Pb 0.000 0.000 3.409
Pb 0.000 3.409 0.000
Pb 3.409 0.000 0.000
Pb 3.409 3.409 3.409
```

---

First-principles (PBE) data for crystalline InCu3PbS4 at its relaxed geometry, as listed in OQMD via LeMat-Bulk.

Properties
energy: -34.8 eV for the cell shown
space-group type: P-43m (215)

```
9
Lattice="5.889 0.000 0.000 0.000 5.889 0.000 0.000 0.000 5.889" Properties=species:S:1:pos:R:3 pbc="T T T"
In 0.000 0.000 0.000
Cu 0.000 2.945 2.945
Cu 2.945 0.000 2.945
Cu 2.945 2.945 0.000
Pb 2.945 2.945 2.945
S 1.422 1.422 1.422
S 1.422 4.467 4.467
S 4.467 1.422 4.467
S 4.467 4.467 1.422
```

---

First-principles (PBE) data for crystalline InCuPbSeS2 at its relaxed geometry, as listed in OQMD via LeMat-Bulk.

Properties
energy: -47.2 eV for the cell shown
space-group type: Cmcm (63)

```
12
Lattice="1.876 -6.432 0.000 1.876 6.432 0.000 0.000 0.000 11.381" Properties=species:S:1:pos:R:3 pbc="T T T"
In 1.876 3.490 8.536
In 1.876 -3.490 2.845
Cu 1.876 0.400 2.845
Cu 1.876 -0.400 8.536
Pb 0.000 0.000 0.000
Pb 0.000 0.000 5.691
Se 1.876 5.136 2.845
Se 1.876 -5.136 8.536
S 1.876 1.960 1.096
S 1.876 1.960 4.595
S 1.876 -1.960 6.787
S 1.876 -1.960 10.285
```

---

First-principles (PBE) data for crystalline InCuPbSe2S at its relaxed geometry, as listed in OQMD via LeMat-Bulk.

Properties
energy: -45.8 eV for the cell shown
space-group type: Cmcm (63)

```
12
Lattice="1.921 -6.373 0.000 1.921 6.373 0.000 0.000 0.000 11.438" Properties=species:S:1:pos:R:3 pbc="T T T"
In 1.921 3.206 8.579
In 1.921 -3.206 2.860
Cu 1.921 0.334 2.860
Cu 1.921 -0.334 8.579
Pb 0.000 0.000 0.000
Pb 0.000 0.000 5.719
Se 1.921 2.061 1.052
Se 1.921 2.061 4.667
Se 1.921 -2.061 6.771
Se 1.921 -2.061 10.386
S 1.921 5.260 2.860
S 1.921 -5.260 8.579
```

---

First-principles (PBE) data for crystalline InCuTe2PbS at its relaxed geometry, as listed in OQMD via LeMat-Bulk.

Properties
energy: -43.0 eV for the cell shown
space-group type: Cmcm (63)

```
12
Lattice="2.026 -6.708 0.000 2.026 6.708 0.000 0.000 0.000 11.739" Properties=species:S:1:pos:R:3 pbc="T T T"
In 2.026 3.718 8.804
In 2.026 -3.718 2.935
Cu 2.026 6.288 2.935
Cu 2.026 -6.288 8.804
Te 2.026 4.449 0.996
Te 2.026 4.449 4.873
Te 2.026 -4.449 6.866
Te 2.026 -4.449 10.743
Pb 2.026 0.000 0.000
Pb 2.026 0.000 5.869
S 2.026 0.836 2.935
S 2.026 -0.836 8.804
```

---

First-principles (PBE) data for crystalline InCu3PbSe4 at its relaxed geometry, as listed in OQMD via LeMat-Bulk.

Properties
energy: -32.2 eV for the cell shown
space-group type: P-43m (215)

```
9
Lattice="6.141 0.000 0.000 0.000 6.141 0.000 0.000 0.000 6.141" Properties=species:S:1:pos:R:3 pbc="T T T"
In 0.000 0.000 0.000
Cu 0.000 3.071 3.071
Cu 3.071 0.000 3.071
Cu 3.071 3.071 0.000
Pb 3.071 3.071 3.071
Se 1.490 1.490 1.490
Se 1.490 4.652 4.652
Se 4.652 1.490 4.652
Se 4.652 4.652 1.490
```

---

First-principles (PBE) data for crystalline InCuTe2PbSe at its relaxed geometry, as listed in OQMD via LeMat-Bulk.

Properties
energy: -42.0 eV for the cell shown
space-group type: Cmcm (63)

```
12
Lattice="2.045 -6.794 0.000 2.045 6.794 0.000 0.000 0.000 11.924" Properties=species:S:1:pos:R:3 pbc="T T T"
In 2.045 3.585 8.943
In 2.045 -3.585 2.981
Cu 2.045 6.322 2.981
Cu 2.045 -6.322 8.943
Te 2.045 4.552 0.998
Te 2.045 4.552 4.964
Te 2.045 -4.552 6.959
Te 2.045 -4.552 10.926
Pb 2.045 0.000 0.000
Pb 2.045 0.000 5.962
Se 2.045 0.984 2.981
Se 2.045 -0.984 8.943
```

---

First-principles (PBE) data for crystalline InCu2Pd at its relaxed geometry, as listed in OQMD via LeMat-Bulk.

Properties
energy: -64.1 eV for the cell shown
space-group type: F-43m (216)

```
16
Lattice="6.225 0.000 0.000 0.000 6.225 0.000 0.000 0.000 6.225" Properties=species:S:1:pos:R:3 pbc="T T T"
In 0.000 0.000 0.000
In 0.000 3.113 3.113
In 3.113 0.000 3.113
In 3.113 3.113 0.000
Cu 0.000 0.000 3.113
Cu 0.000 3.113 0.000
Cu 1.556 1.556 4.669
Cu 1.556 4.669 1.556
Cu 3.113 0.000 0.000
Cu 3.113 3.113 3.113
Cu 4.669 1.556 1.556
Cu 4.669 4.669 4.669
Pd 1.556 1.556 1.556
Pd 1.556 4.669 4.669
Pd 4.669 1.556 4.669
Pd 4.669 4.669 1.556
```